1.
# VCo3Cu PBE-GGA relaxed
data_VCo3Cu
_chemical_formula_sum 'V1 Co3 Cu1'
_cell_length_a 4.261
_cell_length_b 4.261
_cell_length_c 4.261
_cell_angle_alpha 90.00
_cell_angle_beta 90.00
_cell_angle_gamma 90.00
_symmetry_space_group_name_H-M 'P 1'
_symmetry_Int_Tables_number 1
loop_
_symmetry_equiv_pos_as_xyz
'x,y,z'
loop_
_atom_site_label
_atom_site_fract_x
_atom_site_fract_y
_atom_site_fract_z
Co1 0.500 0.000 0.000
Co2 0.000 0.000 0.500
Co3 0.000 0.500 0.000
V1 0.500 0.500 0.500
Cu1 0.000 0.000 0.000
# Total magnetic moment ... 7.804 μB per formula unit
# Calculated total energy ... -27.7 eV for the cell shown
# E above lowest polymorph ... 0.2087 eV/atom
# Space group ... Pm-3m
# Energy of formation ... 1.38 eV per atom

---

2.
# MgBe2I6 PBE-GGA relaxed
data_MgBe2I6
_chemical_formula_sum 'Mg2 Be4 I12'
_cell_length_a 6.877
_cell_length_b 10.798
_cell_length_c 10.798
_cell_angle_alpha 90.30
_cell_angle_beta 108.55
_cell_angle_gamma 108.55
_symmetry_space_group_name_H-M 'P 1'
_symmetry_Int_Tables_number 1
loop_
_symmetry_equiv_pos_as_xyz
'x,y,z'
loop_
_atom_site_label
_atom_site_fract_x
_atom_site_fract_y
_atom_site_fract_z
I1 0.094 0.753 0.456
I2 0.283 0.178 0.322
I3 0.614 0.956 0.252
I4 0.406 0.544 0.247
I5 0.886 0.748 0.044
I6 0.594 0.456 0.753
I7 0.114 0.252 0.956
I8 0.717 0.822 0.678
I9 0.386 0.044 0.748
I10 0.906 0.247 0.544
I11 0.217 0.678 0.822
I12 0.783 0.322 0.178
Be1 0.363 0.825 0.675
Be2 0.637 0.175 0.325
Be3 0.863 0.675 0.825
Be4 0.137 0.325 0.175
Mg1 0.750 0.250 0.750
Mg2 0.250 0.750 0.250
# Total magnetic moment ... 0.000 μB per formula unit
# Calculated total energy ... -48.9 eV for the cell shown
# Space group ... C2/c
# Raw formation energy ... -0.68 eV per atom

---

3.
# LiPuBr4 PBE-GGA relaxed
data_LiPuBr4
_chemical_formula_sum 'Li1 Pu1 Br4'
_cell_length_a 4.201
_cell_length_b 6.946
_cell_length_c 7.106
_cell_angle_alpha 94.59
_cell_angle_beta 90.00
_cell_angle_gamma 90.00
_symmetry_space_group_name_H-M 'P 1'
_symmetry_Int_Tables_number 1
loop_
_symmetry_equiv_pos_as_xyz
'x,y,z'
loop_
_atom_site_label
_atom_site_fract_x
_atom_site_fract_y
_atom_site_fract_z
Pu1 0.000 0.000 0.000
Br1 0.500 0.233 0.185
Br2 0.000 0.788 0.323
Br3 0.000 0.212 0.677
Br4 0.500 0.767 0.815
Li1 0.500 0.000 0.500
# Total magnetic moment ... 5.000 μB per formula unit
# Calculated total energy ... -32.0 eV for the cell shown
# E above lowest polymorph ... 0.0000 eV/atom
# Space group ... P2/m
# Raw formation energy ... -1.51 eV per atom